# SmHo3Al PBE-GGA optimized geometry
# calculated formation energy: 0.029 eV per atom
# total moment: 0.00 Bohr magnetons per cell
# V: 29.7 A^3/atom
# crystal system: monoclinic
# offset from the most stable computed form: 169 meV/atom
# total energy: -176.388 eV/cell
data_SmHo3Al
_chemical_formula_sum 'Sm8 Ho24 Al8'
_cell_length_a 12.2408
_cell_length_b 13.9975
_cell_length_c 7.0604
_cell_angle_alpha 90.00
_cell_angle_beta 100.52
_cell_angle_gamma 90.00
_space_group_name_H-M_alt 'C 1 2/c 1'
_space_group_IT_number 15
_space_group_name_Hall '-C 2yc'
loop_
_atom_site_label
_atom_site_type_symbol
_atom_site_fract_x
_atom_site_fract_y
_atom_site_fract_z
Sm1 Sm 0.1134 0.1858 0.1618
Ho1 Ho 0.1154 0.0596 0.6120
Ho2 Ho 0.1281 0.3497 0.5290
Ho3 Ho 0.1703 0.4046 0.0248
Al1 Al 0.0000 0.2336 0.7500
Al2 Al 0.0000 0.4914 0.2500

# Ho2PaCu PBE-GGA optimized geometry
# calculated formation energy: -0.001 eV per atom
# total moment: 0.04 Bohr magnetons per cell
# V: 23.9 A^3/atom
# crystal system: tetragonal
# offset from the most stable computed form: 0 meV/atom
# total energy: -22.750 eV/cell
data_Ho2PaCu
_chemical_formula_sum 'Ho2 Pa1 Cu1'
_cell_length_a 3.4137
_cell_length_b 3.4137
_cell_length_c 8.2085
_cell_angle_alpha 90.00
_cell_angle_beta 90.00
_cell_angle_gamma 90.00
_space_group_name_H-M_alt 'P 4/m m m'
_space_group_IT_number 123
_space_group_name_Hall '-P 4 2'
loop_
_atom_site_label
_atom_site_type_symbol
_atom_site_fract_x
_atom_site_fract_y
_atom_site_fract_z
Ho1 Ho 0.0000 0.0000 0.2128
Pa1 Pa 0.5000 0.5000 0.5000
Cu1 Cu 0.5000 0.5000 0.0000

# AlInTePb2 PBE-GGA optimized geometry
# total moment: 0.00 Bohr magnetons per cell
# V: 33.2 A^3/atom
# formation energy from raw total energies: 265 meV/atom
# crystal system: tetragonal
# total energy: -15.715 eV/cell
data_AlInTePb2
_chemical_formula_sum 'Al1 In1 Te1 Pb2'
_cell_length_a 5.4807
_cell_length_b 5.4807
_cell_length_c 5.5259
_cell_angle_alpha 90.00
_cell_angle_beta 90.00
_cell_angle_gamma 90.00
_space_group_name_H-M_alt 'P 4/m m m'
_space_group_IT_number 123
_space_group_name_Hall '-P 4 2'
loop_
_atom_site_label
_atom_site_type_symbol
_atom_site_fract_x
_atom_site_fract_y
_atom_site_fract_z
Al1 Al 0.0000 0.0000 0.0000
In1 In 0.5000 0.5000 0.5000
Te1 Te 0.0000 0.0000 0.5000
Pb1 Pb 0.0000 0.5000 0.0000